The following is a DFT calculation (PBE) of an optimized crystal structure of RbNbAuSe2S.

```
data_RbNbAuSe2S
_chemical_formula_sum 'Rb4 Nb4 Au4 Se8 S4'
_cell_length_a 3.801
_cell_length_b 15.766
_cell_length_c 10.010
_cell_angle_alpha 90.00
_cell_angle_beta 90.00
_cell_angle_gamma 90.00
_symmetry_space_group_name_H-M 'C m c m'
_symmetry_Int_Tables_number 63
_symmetry_space_group_name_Hall '-C 2c 2'
loop_
_atom_site_label
_atom_site_type_symbol
_atom_site_fract_x
_atom_site_fract_y
_atom_site_fract_z
Rb1 Rb 0.000 0.250 0.250
Nb1 Nb 0.000 0.000 0.000
Au1 Au 0.000 0.456 0.750
Se1 Se 0.000 0.380 0.528
S1 S 0.000 0.061 0.750
```

Output
Energy in eV/atom: -4.852

---

The following is a DFT calculation (PBE) of an optimized crystal structure of RbNbAuSe3.

```
data_RbNbAuSe3
_chemical_formula_sum 'Rb4 Nb4 Au4 Se12'
_cell_length_a 3.778
_cell_length_b 15.948
_cell_length_c 10.203
_cell_angle_alpha 90.00
_cell_angle_beta 90.00
_cell_angle_gamma 90.00
_symmetry_space_group_name_H-M 'C m c m'
_symmetry_Int_Tables_number 63
_symmetry_space_group_name_Hall '-C 2c 2'
loop_
_atom_site_label
_atom_site_type_symbol
_atom_site_fract_x
_atom_site_fract_y
_atom_site_fract_z
Rb1 Rb 0.000 0.243 0.250
Nb1 Nb 0.000 0.000 0.000
Au1 Au 0.000 0.453 0.750
Se1 Se 0.000 0.070 0.750
Se2 Se 0.000 0.382 0.530
```

Output
Energy in eV/atom: -4.736

---

The following is a DFT calculation (PBE) of an optimized crystal structure of RbNbTe3Au.

```
data_RbNbTe3Au
_chemical_formula_sum 'Rb4 Nb4 Te12 Au4'
_cell_length_a 3.993
_cell_length_b 16.938
_cell_length_c 10.855
_cell_angle_alpha 90.00
_cell_angle_beta 90.00
_cell_angle_gamma 90.00
_symmetry_space_group_name_H-M 'C m c m'
_symmetry_Int_Tables_number 63
_symmetry_space_group_name_Hall '-C 2c 2'
loop_
_atom_site_label
_atom_site_type_symbol
_atom_site_fract_x
_atom_site_fract_y
_atom_site_fract_z
Rb1 Rb 0.000 0.238 0.250
Nb1 Nb 0.000 0.000 0.000
Te1 Te 0.000 0.071 0.750
Te2 Te 0.000 0.380 0.532
Au1 Au 0.000 0.456 0.750
```

Output
Energy in eV/atom: -4.358

---

The following is a DFT calculation (PBE) of an optimized crystal structure of NbReAu.

```
data_NbReAu
_chemical_formula_sum 'Nb4 Re4 Au4'
_cell_length_a 6.200
_cell_length_b 6.200
_cell_length_c 6.200
_cell_angle_alpha 90.00
_cell_angle_beta 90.00
_cell_angle_gamma 90.00
_symmetry_space_group_name_H-M 'F -4 3 m'
_symmetry_Int_Tables_number 216
_symmetry_space_group_name_Hall 'F -4 2 3'
loop_
_atom_site_label
_atom_site_type_symbol
_atom_site_fract_x
_atom_site_fract_y
_atom_site_fract_z
Nb1 Nb 0.000 0.000 0.000
Re1 Re 0.250 0.250 0.750
Au1 Au 0.000 0.000 0.500
```

Output
E_form in meV per atom: 750
Energy in eV/atom: -7.845
Distance to the lowest polymorph of the same formula in meV per atom: 0

---

The following is a DFT calculation (PBE) of an optimized crystal structure of Nb3AuS5.

```
data_Nb3AuS5
_chemical_formula_sum 'Nb3 Au1 S5'
_cell_length_a 5.6512
_cell_length_b 5.6512
_cell_length_c 7.1340
_cell_angle_alpha 90.00
_cell_angle_beta 90.00
_cell_angle_gamma 120.00
_symmetry_space_group_name_H-M 'P 6/m m m'
_symmetry_Int_Tables_number 191
_symmetry_space_group_name_Hall '-P 6 2'
loop_
_atom_site_label
_atom_site_type_symbol
_atom_site_fract_x
_atom_site_fract_y
_atom_site_fract_z
Nb1 Nb 0.0000 0.5000 0.0000
Au1 Au 0.0000 0.0000 0.5000
S1 S 0.0000 0.0000 0.0000
S2 S 0.3333 0.6667 0.2644
```

Output
Energy in eV/atom: -6.370

---

The following is a DFT calculation (PBE) of an optimized crystal structure of NbAu3Se2S2.

```
data_NbAu3Se2S2
_chemical_formula_sum 'Nb2 Au6 Se4 S4'
_cell_length_a 8.390
_cell_length_b 8.701
_cell_length_c 6.042
_cell_angle_alpha 90.00
_cell_angle_beta 90.00
_cell_angle_gamma 90.00
_symmetry_space_group_name_H-M 'C m m 2'
_symmetry_Int_Tables_number 35
loop_
_symmetry_equiv_pos_as_xyz
'x,y,z'
'-x,-y,z'
'-x,y,z'
'x,-y,z'
'x+1/2,y+1/2,z'
'-x+1/2,-y+1/2,z'
'-x+1/2,y+1/2,z'
'x+1/2,-y+1/2,z'
loop_
_atom_site_label
_atom_site_type_symbol
_atom_site_fract_x
_atom_site_fract_y
_atom_site_fract_z
Nb1 Nb 0.000 0.000 0.000
Au1 Au 0.000 0.000 0.500
Au2 Au 0.250 0.250 0.007
Se1 Se 0.247 0.000 0.760
S1 S 0.000 0.222 0.228
```

Output
Energy in eV/atom: -4.749

---

The following is a DFT calculation (PBE) of an optimized crystal structure of Nb2SnAuS4.

```
data_Nb2SnAuS4
_chemical_formula_sum 'Nb2 Sn1 Au1 S4'
_cell_length_a 3.3535
_cell_length_b 3.3535
_cell_length_c 16.5492
_cell_angle_alpha 90.00
_cell_angle_beta 90.00
_cell_angle_gamma 120.00
_symmetry_space_group_name_H-M 'P -3 m 1'
_symmetry_Int_Tables_number 164
_symmetry_space_group_name_Hall '-P 3 2"'
loop_
_atom_site_label
_atom_site_type_symbol
_atom_site_fract_x
_atom_site_fract_y
_atom_site_fract_z
Nb1 Nb 0.3333 0.6667 0.2647
Sn1 Sn 0.0000 0.0000 0.0000
Au1 Au 0.0000 0.0000 0.5000
S1 S 0.0000 0.0000 0.1704
S2 S 0.0000 0.0000 0.3584
```

Output
Energy in eV/atom: -6.329

---

The following is a DFT calculation (PBE) of an optimized crystal structure of NbTe2Au3S2.

```
data_NbTe2Au3S2
_chemical_formula_sum 'Nb2 Te4 Au6 S4'
_cell_length_a 8.396
_cell_length_b 8.961
_cell_length_c 6.111
_cell_angle_alpha 90.00
_cell_angle_beta 90.00
_cell_angle_gamma 90.00
_symmetry_space_group_name_H-M 'C m m 2'
_symmetry_Int_Tables_number 35
loop_
_symmetry_equiv_pos_as_xyz
'x,y,z'
'-x,-y,z'
'-x,y,z'
'x,-y,z'
'x+1/2,y+1/2,z'
'-x+1/2,-y+1/2,z'
'-x+1/2,y+1/2,z'
'x+1/2,-y+1/2,z'
loop_
_atom_site_label
_atom_site_type_symbol
_atom_site_fract_x
_atom_site_fract_y
_atom_site_fract_z
Nb1 Nb 0.000 0.000 0.000
Te1 Te 0.229 0.500 0.741
Au1 Au 0.000 0.000 0.501
Au2 Au 0.250 0.250 0.996
S1 S 0.000 0.214 0.223
```

Output
Energy in eV/atom: -4.632

---

The following is a DFT calculation (PBE) of an optimized crystal structure of NbTlTeAuS2.

```
data_NbTlTeAuS2
_chemical_formula_sum 'Nb4 Tl4 Te4 Au4 S8'
_cell_length_a 3.498
_cell_length_b 16.632
_cell_length_c 10.363
_cell_angle_alpha 90.00
_cell_angle_beta 90.00
_cell_angle_gamma 90.00
_symmetry_space_group_name_H-M 'C m c m'
_symmetry_Int_Tables_number 63
_symmetry_space_group_name_Hall '-C 2c 2'
loop_
_atom_site_label
_atom_site_type_symbol
_atom_site_fract_x
_atom_site_fract_y
_atom_site_fract_z
Nb1 Nb 0.000 0.000 0.000
Tl1 Tl 0.000 0.227 0.250
Te1 Te 0.000 0.087 0.750
Au1 Au 0.000 0.446 0.750
S1 S 0.000 0.393 0.535
```

Output
Energy in eV/atom: -4.897

---

The following is a DFT calculation (PBE) of an optimized crystal structure of NbTlTe2AuS.

```
data_NbTlTe2AuS
_chemical_formula_sum 'Nb4 Tl4 Te8 Au4 S4'
_cell_length_a 3.902
_cell_length_b 15.840
_cell_length_c 10.054
_cell_angle_alpha 90.00
_cell_angle_beta 90.00
_cell_angle_gamma 90.00
_symmetry_space_group_name_H-M 'C m c m'
_symmetry_Int_Tables_number 63
_symmetry_space_group_name_Hall '-C 2c 2'
loop_
_atom_site_label
_atom_site_type_symbol
_atom_site_fract_x
_atom_site_fract_y
_atom_site_fract_z
Nb1 Nb 0.000 0.000 0.000
Tl1 Tl 0.000 0.252 0.250
Te1 Te 0.000 0.366 0.531
Au1 Au 0.000 0.465 0.750
S1 S 0.000 0.062 0.750
```

Output
Energy in eV/atom: -4.582

---

The following is a DFT calculation (PBE) of an optimized crystal structure of NbTlAuS3.

```
data_NbTlAuS3
_chemical_formula_sum 'Nb4 Tl4 Au4 S12'
_cell_length_a 3.530
_cell_length_b 15.189
_cell_length_c 9.846
_cell_angle_alpha 90.00
_cell_angle_beta 90.00
_cell_angle_gamma 90.00
_symmetry_space_group_name_H-M 'C m c m'
_symmetry_Int_Tables_number 63
_symmetry_space_group_name_Hall '-C 2c 2'
loop_
_atom_site_label
_atom_site_type_symbol
_atom_site_fract_x
_atom_site_fract_y
_atom_site_fract_z
Nb1 Nb 0.000 0.000 0.000
Tl1 Tl 0.000 0.261 0.250
Au1 Au 0.000 0.431 0.750
S1 S 0.000 0.065 0.750
S2 S 0.000 0.381 0.522
```

Output
Energy in eV/atom: -5.119

---

The following is a DFT calculation (PBE) of an optimized crystal structure of Nb3Sb5Au.

```
data_Nb3Sb5Au
_chemical_formula_sum 'Nb3 Sb5 Au1'
_cell_length_a 5.6954
_cell_length_b 5.6954
_cell_length_c 8.3150
_cell_angle_alpha 90.00
_cell_angle_beta 90.00
_cell_angle_gamma 120.00
_symmetry_space_group_name_H-M 'P 6/m m m'
_symmetry_Int_Tables_number 191
_symmetry_space_group_name_Hall '-P 6 2'
loop_
_atom_site_label
_atom_site_type_symbol
_atom_site_fract_x
_atom_site_fract_y
_atom_site_fract_z
Nb1 Nb 0.0000 0.5000 0.0000
Sb1 Sb 0.0000 0.0000 0.0000
Sb2 Sb 0.3333 0.6667 0.2933
Au1 Au 0.0000 0.0000 0.5000
```

Output
Energy in eV/atom: -5.996